1.
A relaxed structure of CeNd6Dy2Tm. Source: the Alexandria database, functional PBE-GGA.

```
data_CeNd6Dy2Tm
_chemical_formula_sum 'Ce2 Nd12 Dy4 Tm2'
_cell_length_a 11.3195
_cell_length_b 7.0785
_cell_length_c 8.8488
_cell_angle_alpha 90.00
_cell_angle_beta 103.86
_cell_angle_gamma 90.00
_symmetry_space_group_name_H-M 'C 1 2/m 1'
_symmetry_Int_Tables_number 12
loop_
_symmetry_equiv_pos_as_xyz
'x,y,z'
'-x,-y,-z'
'-x,y,-z'
'x,-y,z'
'x+1/2,y+1/2,z'
'-x+1/2,-y+1/2,-z'
'-x+1/2,y+1/2,-z'
'x+1/2,-y+1/2,z'
loop_
_atom_site_label
_atom_site_type_symbol
_atom_site_fract_x
_atom_site_fract_y
_atom_site_fract_z
Ce1 Ce 0.0000 0.0000 0.0000
Nd1 Nd 0.1253 0.0000 0.4176
Nd2 Nd 0.1725 0.2669 0.7960
Dy1 Dy 0.0910 0.5000 0.1661
Tm1 Tm 0.0000 0.5000 0.5000
```

## Properties
As for the total magnetic moment: 2.3 μB/cell. The density of states at the Fermi level comes out at 21.85 states/eV/f.u. The value obtained for the formation energy is 236 meV per atom. The calculation puts the raw total energy at -4.59 eV/atom.

---

2.
A relaxed structure of CeNdDyTm. Source: the Alexandria database, functional PBE-GGA.

```
data_CeNdDyTm
_chemical_formula_sum 'Ce4 Nd4 Dy4 Tm4'
_cell_length_a 8.0218
_cell_length_b 8.0218
_cell_length_c 8.0218
_cell_angle_alpha 90.00
_cell_angle_beta 90.00
_cell_angle_gamma 90.00
_symmetry_space_group_name_H-M 'F -4 3 m'
_symmetry_Int_Tables_number 216
_symmetry_space_group_name_Hall 'F -4 2 3'
loop_
_atom_site_label
_atom_site_type_symbol
_atom_site_fract_x
_atom_site_fract_y
_atom_site_fract_z
Ce1 Ce 0.0000 0.0000 0.0000
Nd1 Nd 0.0000 0.0000 0.5000
Dy1 Dy 0.2500 0.2500 0.2500
Tm1 Tm 0.2500 0.2500 0.7500
```

## Properties
As for the total magnetic moment: 3.0 μB/cell. The density of states at the Fermi level comes out at 9.69 states/eV/f.u. The value obtained for the formation energy is 158 meV per atom. The calculation puts the raw total energy at -4.79 eV/atom.

---

3.
A relaxed structure of CeNd3Dy6Y2. Source: the Alexandria database, functional PBE-GGA.

```
data_CeNd3Dy6Y2
_chemical_formula_sum 'Ce2 Nd6 Dy12 Y4'
_cell_length_a 6.2136
_cell_length_b 10.7604
_cell_length_c 11.8508
_cell_angle_alpha 90.00
_cell_angle_beta 100.06
_cell_angle_gamma 90.00
_symmetry_space_group_name_H-M 'C 1 2/m 1'
_symmetry_Int_Tables_number 12
loop_
_symmetry_equiv_pos_as_xyz
'x,y,z'
'-x,-y,-z'
'-x,y,-z'
'x,-y,z'
'x+1/2,y+1/2,z'
'-x+1/2,-y+1/2,-z'
'-x+1/2,y+1/2,-z'
'x+1/2,-y+1/2,z'
loop_
_atom_site_label
_atom_site_type_symbol
_atom_site_fract_x
_atom_site_fract_y
_atom_site_fract_z
Ce1 Ce 0.0000 0.0000 0.0000
Nd1 Nd 0.0000 0.1675 0.5000
Nd2 Nd 0.0000 0.5000 0.5000
Dy1 Dy 0.2482 0.0000 0.7528
Dy2 Dy 0.2478 0.1653 0.2471
Y1 Y 0.0000 0.3333 0.0000
```

## Properties
As for the total magnetic moment: 2.3 μB/cell. The density of states at the Fermi level comes out at 18.88 states/eV/f.u. The value obtained for the formation energy is 36 meV per atom. The calculation puts the raw total energy at -5.03 eV/atom.

---

4.
A relaxed structure of Ce2NdDy3Y6. Source: the Alexandria database, functional PBE-GGA.

```
data_Ce2NdDy3Y6
_chemical_formula_sum 'Ce4 Nd2 Dy6 Y12'
_cell_length_a 6.1808
_cell_length_b 10.7043
_cell_length_c 11.8043
_cell_angle_alpha 90.00
_cell_angle_beta 100.05
_cell_angle_gamma 90.00
_symmetry_space_group_name_H-M 'C 1 2/m 1'
_symmetry_Int_Tables_number 12
loop_
_symmetry_equiv_pos_as_xyz
'x,y,z'
'-x,-y,-z'
'-x,y,-z'
'x,-y,z'
'x+1/2,y+1/2,z'
'-x+1/2,-y+1/2,-z'
'-x+1/2,y+1/2,-z'
'x+1/2,-y+1/2,z'
loop_
_atom_site_label
_atom_site_type_symbol
_atom_site_fract_x
_atom_site_fract_y
_atom_site_fract_z
Ce1 Ce 0.0000 0.1667 0.0000
Nd1 Nd 0.0000 0.5000 0.0000
Dy1 Dy 0.0000 0.0000 0.5000
Dy2 Dy 0.0000 0.3337 0.5000
Y1 Y 0.2481 0.0000 0.2503
Y2 Y 0.2483 0.1679 0.7497
```

## Properties
As for the total magnetic moment: 3.8 μB/cell. The density of states at the Fermi level comes out at 22.93 states/eV/f.u. The value obtained for the formation energy is 53 meV per atom. The calculation puts the raw total energy at -5.72 eV/atom.